No. 1
Material: Zn2IrBr
Method: DFT, PBE
State: relaxed

```
Zn2IrBr
1.0
3.163 0.000 0.000
0.000 3.162 -0.014
0.000 0.034 7.298
Br Zn Ir
1 2 1
Direct
0.500 0.250 0.250
0.000 0.250 0.556
0.000 0.250 0.944
0.500 0.750 0.750
```

Space group   Pmmm, No. 47
Uncorrected formation energy   -80 meV/atom
Offset from the most stable computed form   0 meV per atom

=====

No. 2
Material: VFe2Ge
Method: DFT, PBE
State: relaxed

```
VFe2Ge
1.0
2.950 0.000 0.000
0.000 2.950 0.000
0.000 0.000 5.465
Ge Fe V
1 2 1
Direct
0.500 0.500 0.000
0.000 0.000 0.252
0.000 0.000 0.748
0.500 0.500 0.500
```

Energy relative to the elements   -0.145 eV per atom
Space group   P4/mmm, No. 123

=====

No. 3
Material: KPr4Se5
Method: DFT, PBE
State: relaxed

```
KPr4Se5
1.0
-2.821 -2.931 -1.386
1.179 1.584 -5.748
8.770 -6.775 3.144
Se Pr K
5 4 1
Direct
0.198 0.698 0.395
0.392 0.892 0.784
0.608 0.108 0.216
0.000 0.500 0.000
0.802 0.302 0.605
0.601 0.601 0.202
0.399 0.399 0.798
0.795 0.795 0.589
0.205 0.205 0.411
0.000 0.000 0.000
```

Space group   Immm, No. 71
Uncorrected formation energy   -1783 meV/atom

=====

> What is the formula in the second record?

VFe2Ge

=====

What did the third record say?
Material: KPr4Se5
Method: DFT, PBE
State: relaxed

```
KPr4Se5
1.0
-2.821 -2.931 -1.386
1.179 1.584 -5.748
8.770 -6.775 3.144
Se Pr K
5 4 1
Direct
0.198 0.698 0.395
0.392 0.892 0.784
0.608 0.108 0.216
0.000 0.500 0.000
0.802 0.302 0.605
0.601 0.601 0.202
0.399 0.399 0.798
0.795 0.795 0.589
0.205 0.205 0.411
0.000 0.000 0.000
```

Space group   Immm, No. 71
Uncorrected formation energy   -1783 meV/atom